K2BaTa | PBE-GGA | relaxed

Properties
ΔH_f (0 K)   1.179 eV/atom

Cell lengths 11.3957, 3.3486, 9.1947 Å; angles 90.00, 92.78, 90.00 degrees
Closest atoms and distances in Å follow each position.
Space group Cm (No. 8)
One atom of each set of equivalent atoms:
K (0.0000, 0.0000, 0.0000) x2  2 K 3.35
K (0.2404, 0.0000, 0.6727) x2  2 K 3.35
Ba (0.2587, 0.5000, 0.2774) x2  3 Ta 3.26-3.36, 2 Ba 3.35
Ta (0.4972, 0.0000, 0.4063) x2  3 Ba 3.26-3.36, 2 Ta 3.35